#P
Material: CsSiF2
Method: DFT, PBE
State: optimized geometry

a = 3.9551 Å, b = 3.9551 Å, c = 22.2889 Å
α = 90.00°, β = 90.00°, γ = 120.00°
Last column: nearest neighbours and their distance in Å.
Space group R-3m (No. 166, hexagonal axes)
Symmetry-distinct sites (fractional):
Cs  0.0000  0.0000  0.0000  6 F 2.92
Si  0.0000  0.0000  0.5000  2 F 1.89
F  0.0000  0.0000  0.4152  1 Si 1.89

- Fermi-level density of states: 2.56 states/eV/cell
- Volume: 301.95 Å³/cell

#Q
Material: CsSiF2
Method: DFT, PBE
State: optimized geometry

a = 5.4238 Å, b = 5.4238 Å, c = 13.5704 Å
α = 90.00°, β = 90.00°, γ = 90.00°
Last column: nearest neighbours and their distance in Å.
Space group I-42d (No. 122)
Symmetry-distinct sites (fractional):
Cs  0.0000  0.0000  0.0000  4 F 3.12
Si  0.0000  0.0000  0.5000  4 F 2.22
F  0.0866  0.2500  0.6250  2 Si 2.22

- Fermi-level density of states: 3.98 states/eV/cell
- Volume: 399.20 Å³/cell

#R
Material: CsSiF2
Method: DFT, PBE
State: optimized geometry

a = 4.0947 Å, b = 4.0947 Å, c = 16.7641 Å
α = 90.00°, β = 90.00°, γ = 120.00°
Last column: nearest neighbours and their distance in Å.
Space group R-3m (No. 166, hexagonal axes)
Symmetry-distinct sites (fractional):
Cs  0.0000  0.0000  0.0000  8 F 3.18-3.46
Si  0.0000  0.0000  0.5000  6 F 2.46
F  0.0000  0.0000  0.2062  3 Si 2.46, 3 F 2.71

- Fermi-level density of states: 0.01 states/eV/cell
- Volume: 243.42 Å³/cell

Order of stability, best first: #P, #R, #Q

#P
Material: Cs2SiF
Method: DFT, PBE
State: optimized geometry

a = 8.5246 Å, b = 8.5246 Å, c = 8.5246 Å
α = 90.00°, β = 90.00°, γ = 90.00°
Last column: nearest neighbours and their distance in Å.
Space group Fm-3m (No. 225)
Symmetry-distinct sites (fractional):
Cs  0.2500  0.2500  0.2500  4 F 3.69, 4 Si 3.69
Si  0.0000  0.0000  0.0000  8 Cs 3.69
F  0.0000  0.0000  0.5000  8 Cs 3.69

- Fermi-level density of states: 0.00 states/eV/cell
- Volume: 619.47 Å³/cell

#Q
Material: Cs2SiF
Method: DFT, PBE
State: optimized geometry

a = 8.6746 Å, b = 8.6746 Å, c = 9.8480 Å
α = 90.00°, β = 90.00°, γ = 90.00°
Last column: nearest neighbours and their distance in Å.
Space group I-42d (No. 122)
Symmetry-distinct sites (fractional):
Cs  0.1622  0.2500  0.1250  2 F 2.86
Si  0.0000  0.0000  0.5000  4 Cs 3.85
F  0.0000  0.0000  0.0000  4 Cs 2.86

- Fermi-level density of states: 0.00 states/eV/cell
- Volume: 741.05 Å³/cell

Order of stability, best first: #Q, #P

#P
Material: Cs2SnF4
Method: DFT, PBE
State: optimized geometry

a = 4.8017 Å, b = 4.8017 Å, c = 15.0632 Å
α = 90.00°, β = 90.00°, γ = 90.00°
Last column: nearest neighbours and their distance in Å.
Space group I4/mmm (No. 139)
Symmetry-distinct sites (fractional):
Cs  0.0000  0.0000  0.1476  1 F 2.92
Sn  0.0000  0.0000  0.5000  6 F 2.39-2.40
F  0.0000  0.0000  0.3414  1 Sn 2.39
F  0.0000  0.5000  0.0000  2 Sn 2.40

- Fermi-level density of states: 0.00 states/eV/cell
- Volume: 347.31 Å³/cell

#Q
Material: Cs2SnF4
Method: DFT, PBE
State: optimized geometry

a = 6.9563 Å, b = 6.7083 Å, c = 8.8151 Å
α = 90.00°, β = 113.03°, γ = 90.00°
Last column: nearest neighbours and their distance in Å.
Space group P2_1/m (No. 11)
Symmetry-distinct sites (fractional):
Cs  0.0761  0.2500  0.1643  3 F 2.88-2.92
Cs  0.2614  0.7500  0.4832  6 F 2.93-3.11
Sn  0.4114  0.2500  0.8170  4 F 2.11-2.35
F  0.0863  0.2500  0.8404  1 Sn 2.35
F  0.2058  0.2500  0.5664  1 Sn 2.11
F  0.4350  0.5174  0.2639  1 Sn 2.16

- Fermi-level density of states: 0.00 states/eV/cell
- Volume: 378.59 Å³/cell

#R
Material: Cs2SnF4
Method: DFT, PBE
State: optimized geometry

a = 9.7078 Å, b = 12.6129 Å, c = 6.2315 Å
α = 90.00°, β = 90.00°, γ = 90.00°
Last column: nearest neighbours and their distance in Å.
Space group Cmcm (No. 63)
Symmetry-distinct sites (fractional):
Cs  0.2320  0.1494  0.2500  8 F 3.08-3.25
Sn  0.0000  0.4166  0.2500  4 F 2.08-2.23
F  0.0000  0.2956  0.0224  1 Sn 2.08
F  0.2281  0.3935  0.2500  1 Sn 2.23

- Fermi-level density of states: 0.00 states/eV/cell
- Volume: 763.01 Å³/cell

Order of stability, best first: #R, #Q, #P